{
  "formula": "NaMg6Zn6",
  "functional": "GGA-PBE",
  "state": "relaxed",
  "lattice": [[-5.271, -0.558, 0.021], [-1.949, -6.835, -1.882], [-2.421, -2.059, 6.631]],
  "species": ["Mg", "Mg", "Mg", "Mg", "Mg", "Mg", "Zn", "Zn", "Zn", "Zn", "Zn", "Zn", "Na"],
  "fractional_positions": [[0.000, 0.346, 0.654], [0.317, 0.183, 0.183], [0.683, 0.817, 0.817], [0.000, 0.654, 0.346], [0.653, 0.347, 0.347], [0.347, 0.653, 0.653], [0.500, 0.000, 0.500], [0.500, 0.232, 0.768], [0.500, 0.768, 0.232], [0.000, 0.500, 0.000], [0.500, 0.500, 0.000], [0.000, 0.000, 0.500], [0.000, 0.000, 0.000]],
  "formation_enthalpy_0k_ev_per_fu": -0.88,
  "crystal_system": "orthorhombic",
  "e_tot_ev_per_atom": -1.49,
  "mass_density_g_cm3": 3.7
}